Record 1
Below is a relaxed PrSm5TlIn2 crystal, with properties calculated at the PBE-GGA level.

Computed properties:
Formation enthalpy at 0 K: -0.110 eV per atom

Geometry as CIF:
```
data_PrSm5TlIn2
_cell_length_a 8.798
_cell_length_b 8.798
_cell_length_c 9.441
_cell_angle_alpha 117.77
_cell_angle_beta 117.77
_cell_angle_gamma 90.00
_symmetry_space_group_name_H-M 'P 1'
_symmetry_Int_Tables_number 1
loop_
_symmetry_equiv_pos_as_xyz
'x,y,z'
loop_
_atom_site_label
_atom_site_type_symbol
_atom_site_fract_x
_atom_site_fract_y
_atom_site_fract_z
_atom_site_occupancy
Sm1 Sm 0.000 0.000 0.000 1
Pr1 Pr 0.250 0.750 0.500 1
Sm2 Sm 0.428 0.337 0.266 1
Tl1 Tl 0.750 0.750 0.500 1
In1 In 0.609 0.109 0.000 1
In2 In 0.891 0.609 0.000 1
Tl2 Tl 0.250 0.250 0.500 1
Sm3 Sm 0.663 0.163 0.734 1
Sm4 Sm 0.072 0.572 0.734 1
Sm5 Sm 0.572 0.663 0.734 1
Sm6 Sm 0.928 0.428 0.266 1
In3 In 0.391 0.891 0.000 1
In4 In 0.109 0.391 0.000 1
Pr2 Pr 0.750 0.250 0.500 1
Sm7 Sm 0.500 0.500 0.000 1
Sm8 Sm 0.337 0.837 0.266 1
Sm9 Sm 0.837 0.928 0.266 1
Sm10 Sm 0.163 0.072 0.734 1
```

***

Record 2
Below is a relaxed TlZnS2 crystal, with properties calculated at the PBE-GGA level.

Computed properties:
Formation energy from raw total energies: -18 kJ per mole of atoms

Geometry as CIF:
```
data_TlZnS2
_cell_length_a 7.514
_cell_length_b 7.514
_cell_length_c 7.514
_cell_angle_alpha 35.13
_cell_angle_beta 35.13
_cell_angle_gamma 35.13
_symmetry_space_group_name_H-M 'P 1'
_symmetry_Int_Tables_number 1
loop_
_symmetry_equiv_pos_as_xyz
'x,y,z'
loop_
_atom_site_label
_atom_site_type_symbol
_atom_site_fract_x
_atom_site_fract_y
_atom_site_fract_z
_atom_site_occupancy
S1 S 0.899 0.899 0.899 1
Zn1 Zn 0.000 0.000 0.000 1
S2 S 0.101 0.101 0.101 1
Tl1 Tl 0.500 0.500 0.500 1
```

***

Record 3
Below is a relaxed AlTl2Br crystal, with properties calculated at the PBE-GGA level.

Computed properties:
Formation energy from raw total energies: -2 kJ per mole of atoms
Energy above the most stable polymorph in this dataset: 65 meV/atom

Geometry as CIF:
```
data_AlTl2Br
_cell_length_a 6.534
_cell_length_b 6.534
_cell_length_c 6.534
_cell_angle_alpha 139.04
_cell_angle_beta 139.04
_cell_angle_gamma 59.32
_symmetry_space_group_name_H-M 'P 1'
_symmetry_Int_Tables_number 1
loop_
_symmetry_equiv_pos_as_xyz
'x,y,z'
loop_
_atom_site_label
_atom_site_type_symbol
_atom_site_fract_x
_atom_site_fract_y
_atom_site_fract_z
_atom_site_occupancy
Tl1 Tl 0.250 0.750 0.500 1
Br1 Br 0.750 0.250 0.500 1
Al1 Al 0.500 0.500 0.000 1
Tl2 Tl 0.000 0.000 0.000 1
```

***

Record 4
Below is a relaxed Y2CuPtPb crystal, with properties calculated at the PBE-GGA level.

Computed properties:
Formation enthalpy at 0 K: 0.648 eV per atom

Geometry as CIF:
```
data_Y2CuPtPb
_cell_length_a 5.749
_cell_length_b 5.007
_cell_length_c 5.749
_cell_angle_alpha 90.00
_cell_angle_beta 90.00
_cell_angle_gamma 90.00
_symmetry_space_group_name_H-M 'P 1'
_symmetry_Int_Tables_number 1
loop_
_symmetry_equiv_pos_as_xyz
'x,y,z'
loop_
_atom_site_label
_atom_site_type_symbol
_atom_site_fract_x
_atom_site_fract_y
_atom_site_fract_z
_atom_site_occupancy
Cu1 Cu 0.500 0.500 0.500 1
Pb1 Pb 0.000 0.000 0.000 1
Y1 Y 0.000 0.000 0.500 1
Pt1 Pt 0.000 0.500 0.000 1
Y2 Y 0.500 0.000 0.000 1
```

***

| no. | magnetic moment (μB per cell) | V (Å³ per cell) |
| --- | --- | --- |
| 1 | 0.00 | 550 |
| 2 | 0.00 | 125 |
| 3 | 0.00 | 119 |
| 4 | 0.00 | 165 |